Record 1
# PBE Ag2AsBr, optimized geometry
data_Ag2AsBr
_cell_length_a 3.129
_cell_length_b 4.032
_cell_length_c 7.652
_cell_angle_alpha 90.00
_cell_angle_beta 94.16
_cell_angle_gamma 90.00
_space_group_name_H-M_alt 'P 1 m 1'
_space_group_IT_number 6
_space_group_name_Hall 'P -2y'
loop_
_atom_site_label
_atom_site_type_symbol
_atom_site_fract_x
_atom_site_fract_y
_atom_site_fract_z
Ag1 Ag 0.000 0.000 0.000
Ag2 Ag 0.473 0.500 0.780
As1 As 0.518 0.500 0.128
Br1 Br 0.498 0.000 0.541
# Energy above the lowest structure with this stoichiometry   37 meV/atom
# Uncorrected formation energy   0.25 eV per formula unit


Record 2
# PBE Ag2AsBr, optimized geometry
data_Ag2AsBr
_cell_length_a 4.416
_cell_length_b 4.416
_cell_length_c 8.640
_cell_angle_alpha 90.00
_cell_angle_beta 90.00
_cell_angle_gamma 90.00
_space_group_name_H-M_alt 'I 4/m m m'
_space_group_IT_number 139
_space_group_name_Hall '-I 4 2'
loop_
_atom_site_label
_atom_site_type_symbol
_atom_site_fract_x
_atom_site_fract_y
_atom_site_fract_z
Ag1 Ag 0.000 0.500 0.250
As1 As 0.000 0.000 0.000
Br1 Br 0.000 0.000 0.500
# Energy above the lowest structure with this stoichiometry   356 meV/atom
# Uncorrected formation energy   1.52 eV per formula unit


Record 3
# PBE Ag2AsBr, optimized geometry
data_Ag2AsBr
_cell_length_a 3.1727
_cell_length_b 3.1727
_cell_length_c 30.1245
_cell_angle_alpha 90.00
_cell_angle_beta 90.00
_cell_angle_gamma 120.00
_space_group_name_H-M_alt 'R 3 m'
_space_group_IT_number 160
_space_group_name_Hall 'R 3 -2"'
loop_
_atom_site_label
_atom_site_type_symbol
_atom_site_fract_x
_atom_site_fract_y
_atom_site_fract_z
Ag1 Ag 0.0000 0.0000 0.0000
Ag2 Ag 0.0000 0.0000 0.2591
As1 As 0.0000 0.0000 0.7351
Br1 Br 0.0000 0.0000 0.5180
# Energy above the lowest structure with this stoichiometry   220 meV/atom
# Uncorrected formation energy   0.98 eV per formula unit


Q: Number 2 is which compound?
A: Ag2AsBr


What did the third record say?
# PBE Ag2AsBr, optimized geometry
data_Ag2AsBr
_cell_length_a 3.1727
_cell_length_b 3.1727
_cell_length_c 30.1245
_cell_angle_alpha 90.00
_cell_angle_beta 90.00
_cell_angle_gamma 120.00
_space_group_name_H-M_alt 'R 3 m'
_space_group_IT_number 160
_space_group_name_Hall 'R 3 -2"'
loop_
_atom_site_label
_atom_site_type_symbol
_atom_site_fract_x
_atom_site_fract_y
_atom_site_fract_z
Ag1 Ag 0.0000 0.0000 0.0000
Ag2 Ag 0.0000 0.0000 0.2591
As1 As 0.0000 0.0000 0.7351
Br1 Br 0.0000 0.0000 0.5180
# Energy above the lowest structure with this stoichiometry   220 meV/atom
# Uncorrected formation energy   0.98 eV per formula unit


Q: The highest uncorrected formation energy belongs to which entry?
A: number 2


Q: Which value of uncorrected formation energy does entry 1 give?
A: 0.25 eV per formula unit